Material: CdTe2
Method: DFT, PBE-GGA
State: relaxed

It has space group P-62m (No. 189), with a = 9.0484 Å, b = 9.0484 Å, c = 3.8021 Å, α = 90.00°, β = 90.00° and γ = 120.00°. Symmetry generates all atoms from Cd at (0.0000, 0.0000, 0.0000), Cd at (0.3333, 0.6667, 0.5000), Te at (0.0000, 0.2557, 0.5000) and Te at (0.0000, 0.5255, 0.0000).

The formation energy from raw total energies is 0.094 eV per atom. The total energy comes out at -2.3051 eV/atom. The calculation puts the spin magnetization at 0.000 μB per formula unit. Its crystal system is hexagonal.



Material: BeTe2
Method: DFT, PBE-GGA
State: relaxed

It has space group Pnma (No. 62), with a = 13.5284 Å, b = 3.9905 Å, c = 6.3224 Å, α = 90.00°, β = 90.00° and γ = 90.00°. Symmetry generates all atoms from Be at (0.2095, 0.2500, 0.0471), Te at (0.0480, 0.2500, 0.8635) and Te at (0.2014, 0.2500, 0.4340).

The formation energy from raw total energies is -0.144 eV per atom. The value obtained for the distance to the lowest polymorph of the same formula is 0.000 eV per atom. The total energy comes out at -3.4808 eV/atom. The calculation puts the spin magnetization at 0.000 μB per formula unit. Its crystal system is orthorhombic.



Material: SmGd2Y
Method: DFT, PBE-GGA
State: relaxed

It has space group R-3m (No. 166, hexagonal axes), with a = 3.5172 Å, b = 3.5172 Å, c = 37.4011 Å, α = 90.00°, β = 90.00° and γ = 120.00°. Symmetry generates all atoms from Sm at (0.0000, 0.0000, 0.0000), Gd at (0.0000, 0.0000, 0.4111) and Y at (0.0000, 0.0000, 0.5000).

The formation energy is 0.169 eV per atom. The value obtained for the distance to the lowest polymorph of the same formula is 0.145 eV per atom. The total energy comes out at -9.6670 eV/atom. The calculation puts the spin magnetization at 15.601 μB per formula unit. Its crystal system is trigonal.



Question: Look up the spin magnetization of the first one.
Answer: 0.000 μB per formula unit



Question: Look up the spin magnetization of the second one.
Answer: 0.000 μB per formula unit



Question: Which formula does entry 2 have?
Answer: BeTe2